# Y3BeSi2 (GGA-PBE, optimized geometry)
data_Y3BeSi2
_chemical_formula_sum 'Y12 Be4 Si8'
_symmetry_space_group_name_H-M 'P n m a'
_symmetry_Int_Tables_number 62
_cell_length_a 11.231
_cell_length_b 4.025
_cell_length_c 11.495
_cell_angle_alpha 90.00
_cell_angle_beta 90.00
_cell_angle_gamma 90.00
loop_
_symmetry_equiv_pos_as_xyz
'x,y,z'
'-x,-y,-z'
'-x+1/2,-y,z+1/2'
'x+1/2,y,-z+1/2'
'x+1/2,-y+1/2,-z+1/2'
'-x+1/2,y+1/2,z+1/2'
'-x,y+1/2,-z'
'x,-y+1/2,z'
loop_
_atom_site_label
_atom_site_fract_x
_atom_site_fract_y
_atom_site_fract_z
Y1 0.064 0.250 0.121
Y2 0.121 0.750 0.559
Y3 0.203 0.250 0.798
Be1 0.135 0.250 0.364
Si1 0.034 0.750 0.319
Si2 0.195 0.750 0.985
# raw formation energy: -0.645 eV/atom
# calculated volume: 519.6 Å³/cell
# M_tot: 0.00 μB/cell
# D(E_F): 15.9 states/eV/cell